Record 1
Compound: Ti2Ga2Fe
Source: Alexandria via LeMat-Bulk
Functional: GGA-PBE
Structure: optimized geometry

As for the uncorrected energy: -6.3750 eV/atom. As for the excess energy over the best structure of this formula in the dataset: 43 kJ/mol of formula units.

The space group is P4/mbm (No. 127) and the conventional cell measures 6.455, 6.455 and 3.655 Å, with angles of 90.00, 90.00 and 90.00 degrees. Symmetry generates all atoms from Ti at (0.169, 0.331, 0.000), Ga at (0.137, 0.637, 0.500) and Fe at (0.000, 0.000, 0.500).

***

Record 2
Compound: Er2ThNi2
Source: Alexandria via LeMat-Bulk
Functional: GGA-PBE
Structure: optimized geometry

As for the uncorrected energy: -5.9423 eV/atom. As for the excess energy over the best structure of this formula in the dataset: 19 kJ/mol of formula units.

The space group is P2_1/m (No. 11) and the conventional cell measures 5.445, 4.185 and 10.407 Å, with angles of 90.00, 92.59 and 90.00 degrees. Symmetry generates all atoms from Er at (0.151, 0.250, 0.116), Er at (0.244, 0.250, 0.456), Th at (0.331, 0.250, 0.795), Ni at (0.263, 0.750, 0.634) and Ni at (0.357, 0.750, 0.979).

***

Record 3
Compound: TaTc2Br
Source: Alexandria via LeMat-Bulk
Functional: GGA-PBE
Structure: optimized geometry

As for the uncorrected energy: -7.9930 eV/atom. As for the formation energy from raw total energies: 0.571 eV/atom. As for the excess energy over the best structure of this formula in the dataset: 112 kJ/mol of formula units.

The space group is Cmm2 (No. 35) and the conventional cell measures 3.141, 4.918 and 9.014 Å, with angles of 90.00, 90.00 and 90.00 degrees. Symmetry generates all atoms from Ta at (0.000, 0.000, 0.000), Tc at (0.000, 0.000, 0.464), Tc at (0.000, 0.500, 0.241) and Br at (0.000, 0.500, 0.749).

***

Record 4
Compound: NaScVMo2
Source: Alexandria via LeMat-Bulk
Functional: GGA-PBE
Structure: optimized geometry

As for the uncorrected energy: -5.6926 eV/atom.

The space group is P4/mmm (No. 123) and the conventional cell measures 4.674, 4.674 and 4.548 Å, with angles of 90.00, 90.00 and 90.00 degrees. Symmetry generates all atoms from Na at (0.000, 0.000, 0.000), Sc at (0.000, 0.000, 0.500), V at (0.500, 0.500, 0.000) and Mo at (0.000, 0.500, 0.500).

***

Record 5
Compound: TbGa4Cu2Rh
Source: Alexandria via LeMat-Bulk
Functional: GGA-PBE
Structure: optimized geometry

As for the uncorrected energy: -4.4364 eV/atom.

The space group is R-3m (No. 166, hexagonal axes) and the conventional cell measures 4.1713, 4.1713 and 26.5968 Å, with angles of 90.00, 90.00 and 120.00 degrees. Symmetry generates all atoms from Tb at (0.0000, 0.0000, 0.0000), Ga at (0.0000, 0.0000, 0.1283), Ga at (0.0000, 0.0000, 0.4007), Cu at (0.0000, 0.0000, 0.2382) and Rh at (0.0000, 0.0000, 0.5000).

***

Record 6
Compound: ZrInAg2
Source: Alexandria via LeMat-Bulk
Functional: GGA-PBE
Structure: optimized geometry

As for the uncorrected energy: -4.3096 eV/atom.

The space group is F-43m (No. 216) and the conventional cell measures 6.835, 6.835 and 6.835 Å, with angles of 90.00, 90.00 and 90.00 degrees. Symmetry generates all atoms from Zr at (0.000, 0.000, 0.000), In at (0.250, 0.250, 0.750), Ag at (0.000, 0.000, 0.500) and Ag at (0.250, 0.250, 0.250).

***

Record 7
Compound: Tb5ScSb6
Source: Alexandria via LeMat-Bulk
Functional: GGA-PBE
Structure: optimized geometry

As for the uncorrected energy: -5.6218 eV/atom. As for the formation energy from raw total energies: -1.104 eV/atom.

The space group is C2/m (No. 12) and the conventional cell measures 7.562, 13.103 and 7.565 Å, with angles of 90.00, 109.53 and 90.00 degrees. Symmetry generates all atoms from Tb at (0.000, 0.000, 0.000), Tb at (0.000, 0.165, 0.500), Tb at (0.000, 0.330, 0.000), Sc at (0.000, 0.500, 0.500), Sb at (0.242, 0.500, 0.253) and Sb at (0.243, 0.337, 0.744).

***

Record 8
Compound: MgZr2NbC
Source: Alexandria via LeMat-Bulk
Functional: GGA-PBE
Structure: optimized geometry

As for the uncorrected energy: -7.8442 eV/atom.

The space group is P4/mmm (No. 123) and the conventional cell measures 4.621, 4.621 and 4.333 Å, with angles of 90.00, 90.00 and 90.00 degrees. Symmetry generates all atoms from Mg at (0.000, 0.000, 0.000), Zr at (0.000, 0.500, 0.500), Nb at (0.500, 0.500, 0.000) and C at (0.500, 0.500, 0.500).

***

Record 9
Compound: KSbI2F
Source: Alexandria via LeMat-Bulk
Functional: GGA-PBE
Structure: optimized geometry

As for the uncorrected energy: -2.9084 eV/atom. As for the formation energy from raw total energies: -0.870 eV/atom. As for the excess energy over the best structure of this formula in the dataset: 123 kJ/mol of formula units.

The space group is P4/mmm (No. 123) and the conventional cell measures 6.292, 6.292 and 4.263 Å, with angles of 90.00, 90.00 and 90.00 degrees. Symmetry generates all atoms from K at (0.000, 0.000, 0.000), Sb at (0.500, 0.500, 0.000), I at (0.000, 0.500, 0.500) and F at (0.500, 0.500, 0.500).

***

Record 10
Compound: AlRhBr2
Source: Alexandria via LeMat-Bulk
Functional: GGA-PBE
Structure: optimized geometry

As for the uncorrected energy: -3.7837 eV/atom. As for the formation energy from raw total energies: -0.174 eV/atom. As for the excess energy over the best structure of this formula in the dataset: 78 kJ/mol of formula units.

The space group is Cmm2 (No. 35) and the conventional cell measures 3.305, 6.235 and 9.339 Å, with angles of 90.00, 90.00 and 90.00 degrees. Symmetry generates all atoms from Al at (0.000, 0.000, 0.000), Rh at (0.000, 0.500, 0.194), Br at (0.000, 0.000, 0.399) and Br at (0.000, 0.500, 0.796).

***

Record 11
Compound: Ba2Sr2Ag
Source: Alexandria via LeMat-Bulk
Functional: GGA-PBE
Structure: optimized geometry

As for the uncorrected energy: -1.9666 eV/atom. As for the excess energy over the best structure of this formula in the dataset: 0 kJ/mol of formula units.

The space group is P4/mbm (No. 127) and the conventional cell measures 8.525, 8.525 and 6.925 Å, with angles of 90.00, 90.00 and 90.00 degrees. Symmetry generates all atoms from Ba at (0.173, 0.327, 0.000), Sr at (0.163, 0.663, 0.500) and Ag at (0.000, 0.000, 0.500).

***

Record 12
Compound: Mn2AgW
Source: Alexandria via LeMat-Bulk
Functional: GGA-PBE
Structure: optimized geometry

As for the uncorrected energy: -8.2119 eV/atom. As for the excess energy over the best structure of this formula in the dataset: 0 kJ/mol of formula units.

The space group is P4/mmm (No. 123) and the conventional cell measures 3.111, 3.111 and 6.021 Å, with angles of 90.00, 90.00 and 90.00 degrees. Symmetry generates all atoms from Mn at (0.000, 0.000, 0.224), Ag at (0.500, 0.500, 0.500) and W at (0.500, 0.500, 0.000).

***

Record 13
Compound: Rb2CdPdRu
Source: Alexandria via LeMat-Bulk
Functional: GGA-PBE
Structure: optimized geometry

As for the uncorrected energy: -2.2905 eV/atom.

The space group is P4/mmm (No. 123) and the conventional cell measures 6.539, 6.539 and 5.178 Å, with angles of 90.00, 90.00 and 90.00 degrees. Symmetry generates all atoms from Rb at (0.000, 0.500, 0.000), Cd at (0.000, 0.000, 0.000), Pd at (0.500, 0.500, 0.500) and Ru at (0.000, 0.000, 0.500).

***

Record 14
Compound: AcLa4Tm4
Source: Alexandria via LeMat-Bulk
Functional: GGA-PBE
Structure: optimized geometry

As for the uncorrected energy: -4.5884 eV/atom.

The space group is I4/mmm (No. 139) and the conventional cell measures 10.993, 10.993 and 5.181 Å, with angles of 90.00, 90.00 and 90.00 degrees. Symmetry generates all atoms from Ac at (0.000, 0.000, 0.000), La at (0.170, 0.170, 0.500) and Tm at (0.000, 0.341, 0.000).

***

Record 15
Compound: La12HoEr6
Source: Alexandria via LeMat-Bulk
Functional: GGA-PBE
Structure: optimized geometry

As for the uncorrected energy: -4.5653 eV/atom.

The space group is R-3 (No. 148, hexagonal axes) and the conventional cell measures 14.9482, 14.9482 and 10.4829 Å, with angles of 90.00, 90.00 and 120.00 degrees. Symmetry generates all atoms from La at (0.0428, 0.2561, 0.0735), La at (0.0671, 0.2293, 0.4227), Ho at (0.0000, 0.0000, 0.0000) and Er at (0.0478, 0.1994, 0.7598).

***

Record 16
Compound: NaGe2Pt2
Source: Alexandria via LeMat-Bulk
Functional: GGA-PBE
Structure: optimized geometry

As for the uncorrected energy: -5.0095 eV/atom. As for the excess energy over the best structure of this formula in the dataset: 0 kJ/mol of formula units.

The space group is P4/nmm (No. 129, origin choice 2) and the conventional cell measures 4.271, 4.271 and 10.468 Å, with angles of 90.00, 90.00 and 90.00 degrees. Symmetry generates all atoms from Na at (0.250, 0.250, 0.247), Ge at (0.250, 0.250, 0.869), Ge at (0.250, 0.750, 0.500), Pt at (0.250, 0.250, 0.631) and Pt at (0.250, 0.750, 0.000).

***

Record 17
Compound: CaLa2Sn3Pt4
Source: Alexandria via LeMat-Bulk
Functional: GGA-PBE
Structure: optimized geometry

As for the uncorrected energy: -5.7027 eV/atom.

The space group is P-4m2 (No. 115) and the conventional cell measures 4.659, 4.659 and 11.014 Å, with angles of 90.00, 90.00 and 90.00 degrees. Symmetry generates all atoms from Ca at (0.000, 0.000, 0.000), La at (0.000, 0.500, 0.724), Sn at (0.000, 0.500, 0.377), Sn at (0.500, 0.500, 0.000), Pt at (0.000, 0.000, 0.500), Pt at (0.000, 0.500, 0.141) and Pt at (0.500, 0.500, 0.500).

***

Record 18
Compound: K4SrAc3O8
Source: Alexandria via LeMat-Bulk
Functional: GGA-PBE
Structure: optimized geometry

As for the uncorrected energy: -5.9986 eV/atom. As for the formation energy from raw total energies: -2.370 eV/atom.

The space group is R-3m (No. 166, hexagonal axes) and the conventional cell measures 7.6584, 7.6584 and 19.0690 Å, with angles of 90.00, 90.00 and 120.00 degrees. Symmetry generates all atoms from K at (0.0000, 0.0000, 0.0000), K at (0.0000, 0.5000, 0.0000), Sr at (0.0000, 0.0000, 0.5000), Ac at (0.0000, 0.5000, 0.5000), O at (0.0000, 0.0000, 0.2336) and O at (0.0093, 0.5046, 0.7675).